No. 1
First-principles (GGA-PBE) data for an optimized crystal structure of SnGeTe2, as listed in the Alexandria database.

## Properties
Crystal system: trigonal
Distance to the lowest polymorph of the same formula (eV per atom): 0.312
Volume (A^3/atom): 31.738
E_tot (eV/atom): -3.59
Fermi-level density of states (states/eV per cell): 2.8
Raw formation energy (meV/atom): 137
Magnetization (μB/cell): 0.00

Geometry as POSCAR:
```
SnGeTe2
1.0
1.948 1.125 9.655
-1.948 1.125 9.655
0.000 -2.250 9.655
Sn Ge Te
1 1 2
Cartesian
0.000 0.000 0.000
0.000 0.000 14.483
0.000 0.000 3.085
0.000 0.000 25.881
```

=====

No. 2
First-principles (GGA-PBE) data for an optimized crystal structure of Sn2GeTe, as listed in the Alexandria database.

## Properties
Crystal system: trigonal
Distance to the lowest polymorph of the same formula (eV per atom): 0.034
Volume (A^3/atom): 27.874
E_tot (eV/atom): -3.92
Fermi-level density of states (states/eV per cell): 1.6
Raw formation energy (meV/atom): 22
Magnetization (μB/cell): 0.00

Geometry as POSCAR:
```
Sn2GeTe
1.0
2.070 1.195 7.513
-2.070 1.195 7.513
0.000 -2.390 7.513
Sn Ge Te
2 1 1
Cartesian
0.000 0.000 0.000
0.000 0.000 4.300
0.000 0.000 13.499
0.000 0.000 17.344
```

=====

No. 3
First-principles (GGA-PBE) data for an optimized crystal structure of Sn4GeTe5, as listed in the Alexandria database.

## Properties
Crystal system: tetragonal
Volume (A^3/atom): 32.022
E_tot (eV/atom): -3.87
Raw formation energy (meV/atom): -240
Magnetization (μB/cell): 0.00

Geometry as POSCAR:
```
Sn4GeTe5
1.0
-5.004 5.004 3.197
5.004 -5.004 3.197
5.004 5.004 -3.197
Sn Ge Te
4 1 5
Cartesian
3.015 0.973 0.000
4.030 -1.989 3.197
0.973 6.993 0.000
1.989 4.030 3.197
0.000 0.000 3.348
5.984 2.101 -0.136
2.101 4.023 -0.136
2.903 0.980 3.061
-0.980 2.903 3.061
0.000 0.000 6.155
```

=====

No. 4
First-principles (GGA-PBE) data for an optimized crystal structure of Th6SnGe2Te3, as listed in the Alexandria database.

## Properties
Crystal system: monoclinic
Volume (A^3/atom): 30.950
E_tot (eV/atom): -6.53
Fermi-level density of states (states/eV per cell): 7.5
Raw formation energy (meV/atom): -930
Magnetization (μB/cell): 0.00

Geometry as POSCAR:
```
Th6SnGe2Te3
1.0
9.686 -2.211 0.000
9.686 2.211 0.000
-2.096 0.000 8.671
Th Sn Ge Te
6 1 2 3
Cartesian
-0.310 0.000 2.174
5.412 0.000 3.758
4.584 0.000 7.709
12.692 0.000 0.963
11.864 0.000 4.913
17.586 0.000 6.498
9.686 0.000 0.000
2.558 0.000 2.919
14.718 0.000 5.753
1.398 0.000 7.236
8.638 0.000 4.336
15.878 0.000 1.435
```

=====

No. 5
First-principles (GGA-PBE) data for an optimized crystal structure of TiSn2GeTe, as listed in the Alexandria database.

## Properties
Crystal system: tetragonal
Volume (A^3/atom): 29.685
E_tot (eV/atom): -4.38
Fermi-level density of states (states/eV per cell): 3.9
Raw formation energy (meV/atom): 356
Magnetization (μB/cell): 0.00

Geometry as POSCAR:
```
TiSn2GeTe
1.0
5.343 0.000 0.000
0.000 5.343 0.000
0.000 0.000 5.200
Ti Sn Ge Te
1 2 1 1
Cartesian
0.000 0.000 0.000
0.000 2.671 0.000
2.671 0.000 0.000
2.671 2.671 2.600
0.000 0.000 2.600
```

=====

No. 6
First-principles (GGA-PBE) data for an optimized crystal structure of Tl2SnGeTe5, as listed in the Alexandria database.

## Properties
Crystal system: orthorhombic
Volume (A^3/atom): 33.587
E_tot (eV/atom): -3.38
Fermi-level density of states (states/eV per cell): 9.2
Raw formation energy (meV/atom): -148
Magnetization (μB/cell): 0.00

Geometry as POSCAR:
```
Tl2SnGeTe5
1.0
2.079 -10.526 0.000
2.079 10.526 0.000
0.000 0.000 13.810
Tl Sn Ge Te
4 2 2 10
Cartesian
2.079 7.977 6.905
2.079 7.951 1.954
2.079 -7.951 8.859
2.079 -7.977 0.000
2.079 6.042 11.779
2.079 -6.042 4.874
2.079 1.210 3.389
2.079 -1.210 10.295
2.079 9.804 11.943
2.079 4.437 6.996
2.079 3.771 2.679
2.079 3.203 11.284
2.079 0.133 8.057
2.079 -0.133 1.152
2.079 -3.203 4.379
2.079 -3.771 9.584
2.079 -4.437 0.091
2.079 -9.804 5.038
```

=====

No. 7
First-principles (GGA-PBE) data for an optimized crystal structure of TlSnGeTe2, as listed in the Alexandria database.

## Properties
Crystal system: tetragonal
Volume (A^3/atom): 35.753
E_tot (eV/atom): -2.81
Fermi-level density of states (states/eV per cell): 4.1
Raw formation energy (meV/atom): 642
Magnetization (μB/cell): 0.00

Geometry as POSCAR:
```
TlSnGeTe2
1.0
5.888 0.000 0.000
0.000 5.888 0.000
0.000 0.000 5.157
Tl Sn Ge Te
1 1 1 2
Cartesian
0.000 0.000 0.000
2.944 2.944 2.579
0.000 0.000 2.579
0.000 2.944 0.000
2.944 0.000 0.000
```

=====

No. 8
First-principles (GGA-PBE) data for an optimized crystal structure of Tl3Sn2GeTe6, as listed in the Alexandria database.

## Properties
Crystal system: monoclinic
Volume (A^3/atom): 32.599
E_tot (eV/atom): -3.42
Fermi-level density of states (states/eV per cell): 7.3
Raw formation energy (meV/atom): -209
Magnetization (μB/cell): 0.00

Geometry as POSCAR:
```
Tl3Sn2GeTe6
1.0
10.096 -2.218 0.000
10.096 2.218 0.000
-3.178 0.000 8.735
Tl Sn Ge Te
3 2 1 6
Cartesian
0.000 0.000 0.000
4.557 0.000 5.863
12.457 0.000 2.872
6.259 0.000 1.532
10.755 0.000 7.203
-1.589 0.000 4.367
1.283 0.000 5.170
3.292 0.000 0.592
9.139 0.000 2.410
7.875 0.000 6.325
13.722 0.000 8.143
15.731 0.000 3.565
```

=====

No. 9
First-principles (GGA-PBE) data for an optimized crystal structure of TlSnGe2Te, as listed in the Alexandria database.

## Properties
Crystal system: tetragonal
Volume (A^3/atom): 34.006
E_tot (eV/atom): -3.22
Fermi-level density of states (states/eV per cell): 4.2
Raw formation energy (meV/atom): 528
Magnetization (μB/cell): 0.00

Geometry as POSCAR:
```
TlSnGe2Te
1.0
5.369 0.000 0.000
0.000 5.369 0.000
0.000 0.000 5.898
Tl Sn Ge Te
1 1 2 1
Cartesian
0.000 0.000 0.000
2.685 2.685 2.949
0.000 2.685 2.949
2.685 0.000 2.949
2.685 2.685 0.000
```

=====

No. 10
First-principles (GGA-PBE) data for an optimized crystal structure of Tm8SnGe3Te4, as listed in the Alexandria database.

## Properties
Crystal system: trigonal
Volume (A^3/atom): 27.298
E_tot (eV/atom): -5.22
Fermi-level density of states (states/eV per cell): 2.4
Raw formation energy (meV/atom): -1087
Magnetization (μB/cell): 0.00

Geometry as POSCAR:
```
Tm8SnGe3Te4
1.0
4.234 2.445 7.033
-4.234 2.445 7.033
0.000 -4.889 7.033
Tm Sn Ge Te
8 1 3 4
Cartesian
-2.176 -1.256 12.115
0.000 0.000 5.037
0.000 -2.513 8.983
-2.176 1.256 8.983
2.176 -1.256 12.115
0.000 2.513 12.115
0.000 0.000 16.061
2.176 1.256 8.983
0.000 0.000 10.549
-4.234 0.000 10.549
-2.117 1.222 3.516
2.117 1.222 3.516
0.000 0.000 0.000
-2.117 -1.222 7.033
-2.117 1.222 14.065
0.000 2.445 7.033
```

=====

No. 11
First-principles (GGA-PBE) data for an optimized crystal structure of Tm4SnGeTe2, as listed in the Alexandria database.

## Properties
Crystal system: monoclinic
Volume (A^3/atom): 27.918
E_tot (eV/atom): -5.14
Fermi-level density of states (states/eV per cell): 1.3
Raw formation energy (meV/atom): -1043
Magnetization (μB/cell): 0.00

Geometry as POSCAR:
```
Tm4SnGeTe2
1.0
7.435 0.000 0.000
0.000 4.256 0.000
-2.449 0.000 7.059
Tm Sn Ge Te
4 1 1 2
Cartesian
1.176 0.000 1.563
-0.057 2.128 5.442
5.042 2.128 1.617
3.809 0.000 5.496
3.717 0.000 0.000
0.000 2.128 0.000
-1.225 0.000 3.530
2.493 2.128 3.530
```

=====

No. 12
First-principles (GGA-PBE) data for an optimized crystal structure of Y4SnGeTe2, as listed in the Alexandria database.

## Properties
Crystal system: tetragonal
Volume (A^3/atom): 28.894
E_tot (eV/atom): -6.22
Fermi-level density of states (states/eV per cell): 1.5
Raw formation energy (meV/atom): -1124
Magnetization (μB/cell): 0.00

Geometry as POSCAR:
```
Y4SnGeTe2
1.0
-3.063 3.063 6.162
3.063 -3.063 6.162
3.063 3.063 -6.162
Y Sn Ge Te
4 1 1 2
Cartesian
0.000 0.000 2.912
0.000 3.063 0.046
0.000 0.000 9.411
0.000 3.063 6.116
0.000 3.063 3.081
0.000 0.000 0.000
3.063 0.000 3.081
0.000 0.000 6.162
```